A plane-wave DFT calculation with GGA-PBE was carried out for a relaxed structure of CdP3.

abc: 4.8066 4.8066 2.9481
angles: 90.00 90.00 90.00
Space group P4/mmm (No. 123)
Inequivalent atoms, fractional coordinates:
Cd 0.0000 0.0000 0.0000 (multiplicity 1)
P 0.0000 0.5000 0.5000 (multiplicity 2)
P 0.5000 0.5000 0.0000 (multiplicity 1)

Values from the calculation:
Formation energy (eV per atom): 0.687
Energy relative to the lowest polymorph listed for this composition (meV per atom): 719
N(E_F) (states/eV/atom): 0.39

---

A plane-wave DFT calculation with GGA-PBE was carried out for a relaxed structure of Sm3BiRu.

abc: 5.3974 5.3974 5.3974
angles: 90.00 90.00 90.00
Space group Pm-3m (No. 221)
Inequivalent atoms, fractional coordinates:
Sm 0.0000 0.0000 0.5000 (multiplicity 3)
Bi 0.5000 0.5000 0.5000 (multiplicity 1)
Ru 0.0000 0.0000 0.0000 (multiplicity 1)

Values from the calculation:
Formation energy (eV per atom): -0.315
Energy relative to the lowest polymorph listed for this composition (meV per atom): 146
N(E_F) (states/eV/atom): 1.06

---

A plane-wave DFT calculation with GGA-PBE was carried out for a relaxed structure of LaSmSnPb.

abc: 4.4779 4.7207 11.9338
angles: 90.00 90.00 90.00
Space group Amm2 (No. 38)
Inequivalent atoms, fractional coordinates:
La 0.0000 0.0000 0.0000 (multiplicity 2)
Sm 0.5000 0.0000 0.7320 (multiplicity 2)
Sn 0.0000 0.0000 0.2711 (multiplicity 2)
Pb 0.5000 0.0000 0.4555 (multiplicity 2)

Values from the calculation:
Formation energy (eV per atom): -0.669
Energy relative to the lowest polymorph listed for this composition (meV per atom): 0
N(E_F) (states/eV/atom): 0.88